Entry 1:
Material: CePaSn2
Method: DFT, GGA-PBE
State: relaxed

Values from the calculation:
Energy above the most stable polymorph in this dataset: 121 meV per atom
Symmetry: No. 225

abc: 5.3756 5.3756 5.3756
angles: 60.00 60.00 60.00
With the nearest neighbours (Å) after each atom.
Element x y z (fractional)
1 Pa 0.0000 0.0000 0.0000  8 Sn 3.29
2 Sn 0.2500 0.2500 0.2500  4 Ce 3.29, 4 Pa 3.29
3 Sn 0.7500 0.7500 0.7500  4 Ce 3.29, 4 Pa 3.29
4 Ce 0.5000 0.5000 0.5000  8 Sn 3.29

=====

Entry 2:
Material: Li2Pm2ThSn2
Method: DFT, GGA-PBE
State: relaxed

Values from the calculation:
E: -4.504 eV per atom
Symmetry: No. 166

abc: 4.8443 4.8443 9.5516
angles: 75.31 75.31 60.00
With the nearest neighbours (Å) after each atom.
Element x y z (fractional)
1 Li 0.5956 0.5956 0.2132  3 Sn 2.80
2 Li 0.4044 0.4044 0.7868  3 Sn 2.80
3 Pm 0.1288 0.1288 0.6137  3 Li 3.21, 3 Sn 3.24, 3 Pm 3.48, 1 Th 3.53
4 Pm 0.8712 0.8712 0.3863  3 Li 3.21, 3 Sn 3.24, 3 Pm 3.48, 1 Th 3.53
5 Th 0.0000 0.0000 0.0000  6 Sn 3.37, 6 Li 3.41, 2 Pm 3.53
6 Sn 0.7354 0.7354 0.7939  3 Li 2.80
7 Sn 0.2646 0.2646 0.2061  3 Li 2.80

=====

Entry 3:
Material: Ti2Zn2Pt3
Method: DFT, GGA-PBE
State: relaxed

Values from the calculation:
E: -5.910 eV per atom
Symmetry: No. 12

abc: 4.4469 4.4494 7.2039
angles: 90.03 108.05 119.95
With the nearest neighbours (Å) after each atom.
Element x y z (fractional)
1 Ti 0.7780 0.3891 0.1666  7 Pt 2.60-2.80
2 Ti 0.2220 0.6109 0.8334  7 Pt 2.60-2.80
3 Zn 0.2624 0.1316 0.3931  5 Pt 2.57-2.81
4 Zn 0.7376 0.8684 0.6069  5 Pt 2.57-2.81
5 Pt 0.0000 0.0000 0.0000  2 Zn 2.64, 6 Ti 2.80
6 Pt 0.5164 0.2577 0.7753  4 Zn 2.57-2.81, 4 Ti 2.60-2.63
7 Pt 0.4836 0.7423 0.2247  4 Zn 2.57-2.81, 4 Ti 2.60-2.63

=====

Entry 4:
Material: Ba2HoSb3Pd4
Method: DFT, GGA-PBE
State: relaxed

Values from the calculation:
E: -5.009 eV per atom
Symmetry: No. 115

abc: 4.7099 4.7099 11.4339
angles: 90.00 90.00 90.00
With the nearest neighbours (Å) after each atom.
Element x y z (fractional)
1 Ba 0.5000 0.0000 0.2307  8 Pd 3.54-3.65, 6 Sb 3.55-3.88, 2 Ho 3.88
2 Ba 0.0000 0.5000 0.7693  8 Pd 3.54-3.65, 6 Sb 3.55-3.88, 2 Ho 3.88
3 Ho 0.5000 0.5000 0.5000  4 Pd 2.84
4 Sb 0.0000 0.0000 0.5000  4 Pd 2.84
5 Sb 0.5000 0.0000 0.8777  5 Pd 2.73-2.74
6 Sb 0.0000 0.5000 0.1223  5 Pd 2.73-2.74
7 Pd 0.5000 0.5000 0.0000  4 Sb 2.74
8 Pd 0.0000 0.0000 0.0000  4 Sb 2.74
9 Pd 0.5000 0.0000 0.6385  3 Sb 2.73-2.84, 2 Ho 2.84
10 Pd 0.0000 0.5000 0.3615  3 Sb 2.73-2.84, 2 Ho 2.84

=====

Entry 5:
Material: NiPtBr2
Method: DFT, GGA-PBE
State: relaxed

Values from the calculation:
Energy above the most stable polymorph in this dataset: 975 meV per atom
Symmetry: No. 216

abc: 4.7476 4.7476 4.7476
angles: 60.00 60.00 60.00
With the nearest neighbours (Å) after each atom.
Element x y z (fractional)
1 Br 0.0000 0.0000 0.0000  4 Br 2.91, 4 Pt 2.91
2 Br 0.7500 0.7500 0.7500  4 Ni 2.91, 4 Br 2.91
3 Ni 0.5000 0.5000 0.5000  4 Pt 2.91, 4 Br 2.91
4 Pt 0.2500 0.2500 0.2500  4 Br 2.91, 4 Ni 2.91

=====

Copy entry 2 word for word.
Material: Li2Pm2ThSn2
Method: DFT, GGA-PBE
State: relaxed

Values from the calculation:
E: -4.504 eV per atom
Symmetry: No. 166

abc: 4.8443 4.8443 9.5516
angles: 75.31 75.31 60.00
With the nearest neighbours (Å) after each atom.
Element x y z (fractional)
1 Li 0.5956 0.5956 0.2132  3 Sn 2.80
2 Li 0.4044 0.4044 0.7868  3 Sn 2.80
3 Pm 0.1288 0.1288 0.6137  3 Li 3.21, 3 Sn 3.24, 3 Pm 3.48, 1 Th 3.53
4 Pm 0.8712 0.8712 0.3863  3 Li 3.21, 3 Sn 3.24, 3 Pm 3.48, 1 Th 3.53
5 Th 0.0000 0.0000 0.0000  6 Sn 3.37, 6 Li 3.41, 2 Pm 3.53
6 Sn 0.7354 0.7354 0.7939  3 Li 2.80
7 Sn 0.2646 0.2646 0.2061  3 Li 2.80

=====

What did the first record say?
Material: CePaSn2
Method: DFT, GGA-PBE
State: relaxed

Values from the calculation:
Energy above the most stable polymorph in this dataset: 121 meV per atom
Symmetry: No. 225

abc: 5.3756 5.3756 5.3756
angles: 60.00 60.00 60.00
With the nearest neighbours (Å) after each atom.
Element x y z (fractional)
1 Pa 0.0000 0.0000 0.0000  8 Sn 3.29
2 Sn 0.2500 0.2500 0.2500  4 Ce 3.29, 4 Pa 3.29
3 Sn 0.7500 0.7500 0.7500  4 Ce 3.29, 4 Pa 3.29
4 Ce 0.5000 0.5000 0.5000  8 Sn 3.29